This record from Alexandria describes a geometry-optimized TlZnAu2 structure. The functional is GGA-PBEsol.

Computed properties:
* magnetization: 0.00 μB/cell
* density of states at the Fermi level: 0.285 states/eV/atom
* E above lowest polymorph: 0.000 eV per atom
* formation energy: -0.2 eV per formula unit

CIF file:
```
data_TlZnAu2
_chemical_formula_sum 'Tl1 Zn1 Au2'
_symmetry_space_group_name_H-M 'P 4/m m m'
_symmetry_Int_Tables_number 123
_symmetry_space_group_name_Hall '-P 4 2'
_cell_length_a 3.137
_cell_length_b 3.137
_cell_length_c 7.561
_cell_angle_alpha 90.00
_cell_angle_beta 90.00
_cell_angle_gamma 90.00
loop_
_atom_site_label
_atom_site_fract_x
_atom_site_fract_y
_atom_site_fract_z
_atom_site_occupancy
Tl1 0.000 0.000 0.000 1
Zn1 0.000 0.000 0.500 1
Au1 0.500 0.500 0.300 1
```



This record from Alexandria describes a geometry-optimized ZrTl2Au structure. The functional is GGA-PBEsol.

Computed properties:
* magnetization: 0.00 μB/cell
* density of states at the Fermi level: 0.695 states/eV/atom
* E above lowest polymorph: 0.102 eV per atom
* formation energy: 0.3 eV per formula unit

CIF file:
```
data_ZrTl2Au
_chemical_formula_sum 'Zr4 Tl8 Au4'
_symmetry_space_group_name_H-M 'F -4 3 m'
_symmetry_Int_Tables_number 216
_symmetry_space_group_name_Hall 'F -4 2 3'
_cell_length_a 7.036
_cell_length_b 7.036
_cell_length_c 7.036
_cell_angle_alpha 90.00
_cell_angle_beta 90.00
_cell_angle_gamma 90.00
loop_
_atom_site_label
_atom_site_fract_x
_atom_site_fract_y
_atom_site_fract_z
_atom_site_occupancy
Zr1 0.000 0.000 0.000 1
Tl1 0.000 0.000 0.500 1
Tl2 0.250 0.250 0.750 1
Au1 0.250 0.250 0.250 1
```



This record from Alexandria describes a geometry-optimized ZrTlAu structure. The functional is GGA-PBEsol.

Computed properties:
* magnetization: 0.00 μB/cell
* density of states at the Fermi level: 0.828 states/eV/atom
* formation energy: -0.3 eV per formula unit

CIF file:
```
data_ZrTlAu
_chemical_formula_sum 'Zr1 Tl1 Au1'
_symmetry_space_group_name_H-M 'P 3 m 1'
_symmetry_Int_Tables_number 156
_cell_length_a 3.3480
_cell_length_b 3.3480
_cell_length_c 6.7105
_cell_angle_alpha 90.00
_cell_angle_beta 90.00
_cell_angle_gamma 120.00
loop_
_symmetry_equiv_pos_as_xyz
'x,y,z'
'-y,x-y,z'
'-x+y,-x,z'
'-y,-x,z'
'-x+y,y,z'
'x,x-y,z'
loop_
_atom_site_label
_atom_site_fract_x
_atom_site_fract_y
_atom_site_fract_z
_atom_site_occupancy
Zr1 0.0000 0.0000 0.0000 1
Tl1 0.6667 0.3333 0.3610 1
Au1 0.3333 0.6667 0.6984 1
```